An optimized crystal structure of TbB4W, computed with PBE-GGA. Values from VASP.

Quantum ESPRESSO input file:
```
&SYSTEM
  ibrav = 0, nat = 24, ntyp = 3
/
ATOMIC_SPECIES
Tb 158.93 Tb.upf
B 10.81 B.upf
W 183.84 W.upf
CELL_PARAMETERS angstrom
6.0539 0.0000 0.0000
0.0000 11.6975 0.0000
0.0000 0.0000 3.6363
ATOMIC_POSITIONS crystal
Tb 0.1266 0.1496 0.0000
Tb 0.3734 0.6496 0.0000
Tb 0.6266 0.3504 0.0000
Tb 0.8734 0.8504 0.0000
B 0.0242 0.6930 0.5000
B 0.1137 0.5472 0.5000
B 0.1340 0.9679 0.5000
B 0.2140 0.8137 0.5000
B 0.2860 0.3137 0.5000
B 0.3660 0.4679 0.5000
B 0.3863 0.0472 0.5000
B 0.4758 0.1930 0.5000
B 0.5242 0.8070 0.5000
B 0.6137 0.9528 0.5000
B 0.6340 0.5321 0.5000
B 0.7140 0.6863 0.5000
B 0.7860 0.1863 0.5000
B 0.8660 0.0321 0.5000
B 0.8863 0.4528 0.5000
B 0.9758 0.3070 0.5000
W 0.1305 0.4157 0.0000
W 0.3695 0.9157 0.0000
W 0.6305 0.0843 0.0000
W 0.8695 0.5843 0.0000
```

Properties
total moment = 0.00 μB/cell
energy relative to the elements = -0.590 eV/atom
calculated density = 9.957 g/cm³